No. 1
Material: PaReTc2N6
Method: DFT, GGA-PBE
State: relaxed

DFT total energy = -9.55 eV per atom

Unit cell a=5.535 b=5.248 c=6.233 alpha=58.66 beta=56.74 gamma=58.30
Fractional positions:
N 0.715 0.118 0.767
N 0.597 0.280 0.226
N 0.358 0.712 0.768
N 0.170 0.344 0.708
N 0.244 0.936 0.262
N 0.934 0.593 0.249
Tc 0.974 0.050 0.933
Tc 0.496 0.518 0.477
Pa 0.801 0.812 0.553
Re 0.373 0.298 0.073

No. 2
Material: SmTm3Cu
Method: DFT, GGA-PBE
State: relaxed

DFT total energy = -4.37 eV per atom

Unit cell a=5.309 b=5.309 c=5.309 alpha=90.00 beta=90.00 gamma=90.00
Fractional positions:
Sm 0.500 0.500 0.500
Tm 0.000 0.500 0.000
Tm 0.500 0.000 0.000
Tm 0.000 0.000 0.500
Cu 0.000 0.000 0.000

No. 3
Material: Pm2HoCd
Method: DFT, GGA-PBE
State: relaxed

Excess energy over the best structure of this formula in the dataset = 0.106 eV/atom

Unit cell a=5.526 b=5.526 c=5.526 alpha=60.00 beta=60.00 gamma=60.00
Fractional positions:
Cd 0.000 0.000 0.000
Ho 0.500 0.500 0.500
Pm 0.250 0.250 0.250
Pm 0.750 0.750 0.750